# 1
Here is an optimized crystal structure of LaSbMo2 from Alexandria. Energies are from PBEsol.

The structure in CIF format:
```
data_LaSbMo2
_chemical_formula_sum 'La2 Sb2 Mo4'
_space_group_name_H-M_alt 'I -4 m 2'
_space_group_IT_number 119
_space_group_name_Hall 'I -4 -2'
_cell_length_a 4.6274
_cell_length_b 4.6274
_cell_length_c 7.5655
_cell_angle_alpha 90.00
_cell_angle_beta 90.00
_cell_angle_gamma 90.00
loop_
_atom_site_label
_atom_site_type_symbol
_atom_site_fract_x
_atom_site_fract_y
_atom_site_fract_z
La1 La 0.0000 0.0000 0.0000
Sb1 Sb 0.0000 0.5000 0.7500
Mo1 Mo 0.0000 0.0000 0.5000
Mo2 Mo 0.0000 0.5000 0.2500
```

Calculated values
Total energy   -0.583 Ry per atom
Formation energy without anion corrections   429 meV/atom
Spin magnetization   0.0 μB per formula unit



# 2
Here is an optimized crystal structure of LaSbMo2 from Alexandria. Energies are from PBEsol.

The structure in CIF format:
```
data_LaSbMo2
_chemical_formula_sum 'La1 Sb1 Mo2'
_space_group_name_H-M_alt 'P 1 2/m 1'
_space_group_IT_number 10
_space_group_name_Hall '-P 2y'
_cell_length_a 3.8705
_cell_length_b 4.8391
_cell_length_c 5.0141
_cell_angle_alpha 90.00
_cell_angle_beta 91.94
_cell_angle_gamma 90.00
loop_
_atom_site_label
_atom_site_type_symbol
_atom_site_fract_x
_atom_site_fract_y
_atom_site_fract_z
La1 La 0.0000 0.0000 0.0000
Sb1 Sb 0.5000 0.0000 0.5000
Mo1 Mo 0.4224 0.5000 0.7838
```

Calculated values
Total energy   -0.586 Ry per atom
Formation energy without anion corrections   385 meV/atom
Spin magnetization   0.0 μB per formula unit



# 3
Here is an optimized crystal structure of LaSbMo from Alexandria. Energies are from PBEsol.

The structure in CIF format:
```
data_LaSbMo
_chemical_formula_sum 'La4 Sb4 Mo4'
_space_group_name_H-M_alt 'F -4 3 m'
_space_group_IT_number 216
_space_group_name_Hall 'F -4 2 3'
_cell_length_a 6.6603
_cell_length_b 6.6603
_cell_length_c 6.6603
_cell_angle_alpha 90.00
_cell_angle_beta 90.00
_cell_angle_gamma 90.00
loop_
_atom_site_label
_atom_site_type_symbol
_atom_site_fract_x
_atom_site_fract_y
_atom_site_fract_z
La1 La 0.0000 0.0000 0.0000
Sb1 Sb 0.0000 0.0000 0.5000
Mo1 Mo 0.2500 0.2500 0.7500
```

Calculated values
Total energy   -0.520 Ry per atom
Formation energy without anion corrections   150 meV/atom
Spin magnetization   0.0 μB per formula unit



# 4
Here is an optimized crystal structure of LaTcSb2Mo from Alexandria. Energies are from PBEsol.

The structure in CIF format:
```
data_LaTcSb2Mo
_chemical_formula_sum 'La1 Tc1 Sb2 Mo1'
_space_group_name_H-M_alt 'P 4/m m m'
_space_group_IT_number 123
_space_group_name_Hall '-P 4 2'
_cell_length_a 5.2221
_cell_length_b 5.2221
_cell_length_c 4.6152
_cell_angle_alpha 90.00
_cell_angle_beta 90.00
_cell_angle_gamma 90.00
loop_
_atom_site_label
_atom_site_type_symbol
_atom_site_fract_x
_atom_site_fract_y
_atom_site_fract_z
La1 La 0.0000 0.0000 0.0000
Tc1 Tc 0.5000 0.5000 0.0000
Sb1 Sb 0.0000 0.5000 0.5000
Mo1 Mo 0.5000 0.5000 0.5000
```

Calculated values
Total energy   -0.521 Ry per atom
Formation energy without anion corrections   405 meV/atom
Spin magnetization   0.4 μB per formula unit



# 5
Here is an optimized crystal structure of LaScMo2 from Alexandria. Energies are from PBEsol.

The structure in CIF format:
```
data_LaScMo2
_chemical_formula_sum 'La1 Sc1 Mo2'
_space_group_name_H-M_alt 'P m m m'
_space_group_IT_number 47
_space_group_name_Hall '-P 2 2'
_cell_length_a 3.3451
_cell_length_b 4.6078
_cell_length_c 4.9230
_cell_angle_alpha 90.00
_cell_angle_beta 90.00
_cell_angle_gamma 90.00
loop_
_atom_site_label
_atom_site_type_symbol
_atom_site_fract_x
_atom_site_fract_y
_atom_site_fract_z
La1 La 0.0000 0.0000 0.0000
Sc1 Sc 0.5000 0.0000 0.5000
Mo1 Mo 0.0000 0.5000 0.5000
Mo2 Mo 0.5000 0.5000 0.0000
```

Calculated values
Energy above the most stable polymorph in this dataset   0.000 eV per atom
ΔE_f   2.27 eV/f.u.
Total energy   -0.610 Ry per atom
Spin magnetization   0.0 μB per formula unit



# 6
Here is an optimized crystal structure of LaScMo2 from Alexandria. Energies are from PBEsol.

The structure in CIF format:
```
data_LaScMo2
_chemical_formula_sum 'La1 Sc1 Mo2'
_space_group_name_H-M_alt 'P 4/m m m'
_space_group_IT_number 123
_space_group_name_Hall '-P 4 2'
_cell_length_a 4.7397
_cell_length_b 4.7397
_cell_length_c 3.3886
_cell_angle_alpha 90.00
_cell_angle_beta 90.00
_cell_angle_gamma 90.00
loop_
_atom_site_label
_atom_site_type_symbol
_atom_site_fract_x
_atom_site_fract_y
_atom_site_fract_z
La1 La 0.0000 0.0000 0.0000
Sc1 Sc 0.5000 0.5000 0.0000
Mo1 Mo 0.0000 0.5000 0.5000
```

Calculated values
Energy above the most stable polymorph in this dataset   0.015 eV per atom
ΔE_f   2.33 eV/f.u.
Total energy   -0.609 Ry per atom
Spin magnetization   0.0 μB per formula unit



# 7
Here is an optimized crystal structure of LaSc2Mo from Alexandria. Energies are from PBEsol.

The structure in CIF format:
```
data_LaSc2Mo
_chemical_formula_sum 'La4 Sc8 Mo4'
_space_group_name_H-M_alt 'F -4 3 m'
_space_group_IT_number 216
_space_group_name_Hall 'F -4 2 3'
_cell_length_a 7.0354
_cell_length_b 7.0354
_cell_length_c 7.0354
_cell_angle_alpha 90.00
_cell_angle_beta 90.00
_cell_angle_gamma 90.00
loop_
_atom_site_label
_atom_site_type_symbol
_atom_site_fract_x
_atom_site_fract_y
_atom_site_fract_z
La1 La 0.0000 0.0000 0.0000
Sc1 Sc 0.0000 0.0000 0.5000
Sc2 Sc 0.2500 0.2500 0.7500
Mo1 Mo 0.2500 0.2500 0.2500
```

Calculated values
Energy above the most stable polymorph in this dataset   0.018 eV per atom
ΔE_f   1.31 eV/f.u.
Total energy   -0.533 Ry per atom
Spin magnetization   0.0 μB per formula unit



# 8
Here is an optimized crystal structure of LaSc2Mo from Alexandria. Energies are from PBEsol.

The structure in CIF format:
```
data_LaSc2Mo
_chemical_formula_sum 'La2 Sc4 Mo2'
_space_group_name_H-M_alt 'I 4/m m m'
_space_group_IT_number 139
_space_group_name_Hall '-I 4 2'
_cell_length_a 4.6168
_cell_length_b 4.6168
_cell_length_c 8.1064
_cell_angle_alpha 90.00
_cell_angle_beta 90.00
_cell_angle_gamma 90.00
loop_
_atom_site_label
_atom_site_type_symbol
_atom_site_fract_x
_atom_site_fract_y
_atom_site_fract_z
La1 La 0.0000 0.0000 0.0000
Sc1 Sc 0.0000 0.5000 0.2500
Mo1 Mo 0.0000 0.0000 0.5000
```

Calculated values
Energy above the most stable polymorph in this dataset   0.000 eV per atom
ΔE_f   1.24 eV/f.u.
Total energy   -0.534 Ry per atom
Spin magnetization   0.0 μB per formula unit



# 9
Here is an optimized crystal structure of La2ScZnMo from Alexandria. Energies are from PBEsol.

The structure in CIF format:
```
data_La2ScZnMo
_chemical_formula_sum 'La2 Sc1 Zn1 Mo1'
_space_group_name_H-M_alt 'P 4/m m m'
_space_group_IT_number 123
_space_group_name_Hall '-P 4 2'
_cell_length_a 5.4203
_cell_length_b 5.4203
_cell_length_c 4.8955
_cell_angle_alpha 90.00
_cell_angle_beta 90.00
_cell_angle_gamma 90.00
loop_
_atom_site_label
_atom_site_type_symbol
_atom_site_fract_x
_atom_site_fract_y
_atom_site_fract_z
La1 La 0.0000 0.5000 0.0000
Sc1 Sc 0.0000 0.0000 0.0000
Zn1 Zn 0.0000 0.0000 0.5000
Mo1 Mo 0.5000 0.5000 0.5000
```

Calculated values
ΔE_f   6.92 eV/f.u.
Total energy   -0.349 Ry per atom
Spin magnetization   3.2 μB per formula unit



# 10
Here is an optimized crystal structure of La2MoSe from Alexandria. Energies are from PBEsol.

The structure in CIF format:
```
data_La2MoSe
_chemical_formula_sum 'La4 Mo2 Se2'
_space_group_name_H-M_alt 'I m m 2'
_space_group_IT_number 44
_space_group_name_Hall 'I 2 -2'
_cell_length_a 3.5551
_cell_length_b 4.6477
_cell_length_c 11.7271
_cell_angle_alpha 90.00
_cell_angle_beta 90.00
_cell_angle_gamma 90.00
loop_
_atom_site_label
_atom_site_type_symbol
_atom_site_fract_x
_atom_site_fract_y
_atom_site_fract_z
La1 La 0.0000 0.0000 0.0000
La2 La 0.0000 0.5000 0.2355
Mo1 Mo 0.0000 0.5000 0.7608
Se1 Se 0.0000 0.0000 0.4210
```

Calculated values
Total energy   -0.513 Ry per atom
Formation energy without anion corrections   -408 meV/atom
Spin magnetization   0.0 μB per formula unit